Record 1
Compound: TiV2Si2
Source: the Alexandria database
Functional: GGA-PBE
Structure: optimized geometry

extended XYZ file:
```
10
Lattice="6.517 0.000 0.000 0.000 6.517 0.000 0.000 0.000 3.242" Properties=species:S:1:pos:R:3 pbc="T T T"
V 2.149 1.109 1.621
V 4.368 5.408 1.621
V 5.408 2.149 1.621
V 1.109 4.368 1.621
Ti 3.258 3.258 0.000
Ti 0.000 0.000 0.000
Si 2.421 5.679 0.000
Si 0.837 2.421 0.000
Si 4.096 0.837 0.000
Si 5.679 4.096 0.000
```

energy above the lowest structure with this stoichiometry	0	meV/atom
ρ	4.97	g/cm3
energy relative to the elements, uncorrected	-3.06	eV per formula unit


Record 2
Compound: Cs2SrBr2
Source: the Alexandria database
Functional: GGA-PBE
Structure: optimized geometry

extended XYZ file:
```
10
Lattice="-2.442 -9.285 -1.429 3.877 0.349 -8.892 4.472 -1.468 1.892" Properties=species:S:1:pos:R:3 pbc="T T T"
Cs 1.948 -3.953 -0.871
Cs 4.386 -1.879 -5.024
Cs 3.958 -6.450 -7.558
Cs 1.520 -8.524 -3.405
Br -0.989 -6.086 -2.382
Br 2.424 -2.850 -7.939
Br 0.918 -1.382 -3.240
Br 0.517 -7.554 -7.080
Sr 0.000 0.000 0.000
Sr 0.717 -4.468 -5.160
```

ρ	3.57	g/cm3
energy relative to the elements, uncorrected	-5.98	eV per formula unit


no.,total moment (μB per cell)
1,0.00
2,0.00